[1]
! PBE TiGe2Mo, relaxed; values from VASP
&SYSTEM
  ibrav = 0, nat = 4, ntyp = 3
/
ATOMIC_SPECIES
Ti 47.87 Ti.upf
Ge 72.64 Ge.upf
Mo 95.94 Mo.upf
CELL_PARAMETERS angstrom
1.7739 1.0242 6.2946
-1.7739 1.0242 6.2946
0.0000 -2.0484 6.2946
ATOMIC_POSITIONS crystal
Ti 0.0000 0.0000 0.0000
Ge 0.4135 0.4135 0.4135
Ge 0.5780 0.5780 0.5780
Mo 0.8255 0.8255 0.8255
! Uncorrected energy, eV per atom: -7.189
! E_form, eV per atom: -0.199
! Volume, A^3/atom: 17.2

=====

[2]
! PBE Ti2GeMo, relaxed; values from VASP
&SYSTEM
  ibrav = 0, nat = 8, ntyp = 3
/
ATOMIC_SPECIES
Ti 47.87 Ti.upf
Ge 72.64 Ge.upf
Mo 95.94 Mo.upf
CELL_PARAMETERS angstrom
-3.5770 3.5770 2.6512
3.5770 -3.5770 2.6512
3.5770 3.5770 -2.6512
ATOMIC_POSITIONS crystal
Ti 0.1184 0.6250 0.9934
Ti 0.3750 0.3684 0.4934
Ti 0.6316 0.1250 0.0066
Ti 0.8750 0.8816 0.5066
Ge 0.2500 0.7500 0.5000
Ge 0.5000 0.5000 0.0000
Mo 0.0000 0.0000 0.0000
Mo 0.7500 0.2500 0.5000
! Uncorrected energy, eV per atom: -7.577
! E_form, eV per atom: 0.233
! Volume, A^3/atom: 17.0

=====

[3]
! PBE TiGe2Mo, relaxed; values from VASP
&SYSTEM
  ibrav = 0, nat = 4, ntyp = 3
/
ATOMIC_SPECIES
Ti 47.87 Ti.upf
Ge 72.64 Ge.upf
Mo 95.94 Mo.upf
CELL_PARAMETERS angstrom
0.0000 3.1495 3.1495
3.1495 0.0000 3.1495
3.1495 3.1495 0.0000
ATOMIC_POSITIONS crystal
Ti 0.0000 0.0000 0.0000
Ge 0.2500 0.2500 0.2500
Ge 0.7500 0.7500 0.7500
Mo 0.5000 0.5000 0.5000
! Uncorrected energy, eV per atom: -7.140
! E_form, eV per atom: -0.149
! Volume, A^3/atom: 15.6

=====

[4]
! PBE TiGe2Mo2, relaxed; values from VASP
&SYSTEM
  ibrav = 0, nat = 10, ntyp = 3
/
ATOMIC_SPECIES
Ti 47.87 Ti.upf
Ge 72.64 Ge.upf
Mo 95.94 Mo.upf
CELL_PARAMETERS angstrom
6.8787 0.0000 0.0000
0.0000 6.8787 0.0000
0.0000 0.0000 3.3257
ATOMIC_POSITIONS crystal
Ti 0.0000 0.0000 0.0000
Ti 0.5000 0.5000 0.0000
Ge 0.1421 0.3579 0.0000
Ge 0.3579 0.8579 0.0000
Ge 0.6421 0.1421 0.0000
Ge 0.8579 0.6421 0.0000
Mo 0.1550 0.6550 0.5000
Mo 0.3450 0.1550 0.5000
Mo 0.6550 0.8450 0.5000
Mo 0.8450 0.3450 0.5000
! Uncorrected energy, eV per atom: -7.970
! E_form, eV per atom: -0.211
! Volume, A^3/atom: 15.7